[1]
# Cd2BrO

Cd2BrO after structural relaxation (PBE, the Alexandria database).

Calculated values
* space-group type: R3m
* ΔE_f (raw): -0.628 eV per atom
* calculated density: 5.54 g cm⁻³
* total magnetization: 0.00 μB/atom

Cell lengths 3.8668, 3.8667, 7.7523 Å; angles 75.53, 75.53, 59.98 degrees
With the nearest neighbours (Å) after each atom.
Atoms (fractional coordinates):
Cd1 0.1423 0.5871 0.4712  1 O 2.23
Cd2 0.5937 0.0390 0.1165  3 O 2.27
Br1 0.7260 0.1708 0.7204  4 Cd 2.90-2.94
O1 0.2424 0.6877 0.1704  4 Cd 2.23-2.27

[2]
# Cd3Br2O2

Cd3Br2O2 after structural relaxation (PBE, the Alexandria database).

Calculated values
* space-group type: C2/m
* ΔE_f (raw): -0.898 eV per atom
* calculated density: 5.88 g cm⁻³
* total magnetization: 0.00 μB/atom

Cell lengths 3.8658, 6.6233, 7.0268 Å; angles 119.04, 105.97, 90.00 degrees
With the nearest neighbours (Å) after each atom.
Atoms (fractional coordinates):
Cd1 0.0000 0.0000 0.0000  2 O 2.12
Cd2 0.7590 0.3060 0.5181  3 O 2.27-2.29
Cd3 0.2410 0.6940 0.4819  3 O 2.27-2.29
Br1 0.6043 0.8011 0.2087  5 Cd 2.91-3.06
Br2 0.3957 0.1989 0.7913  5 Cd 2.91-3.06
O1 0.8333 0.6989 0.6665  4 Cd 2.12-2.29
O2 0.1667 0.3011 0.3335  4 Cd 2.12-2.29

[3]
# Cd2BrO

Cd2BrO after structural relaxation (PBE, the Alexandria database).

Calculated values
* space-group type: Fm-3m
* ΔE_f (raw): 0.005 eV per atom
* calculated density: 6.89 g cm⁻³
* total magnetization: 0.00 μB/atom

Cell lengths 4.7812, 4.7812, 4.7812 Å; angles 60.00, 60.00, 60.00 degrees
With the nearest neighbours (Å) after each atom.
Atoms (fractional coordinates):
O1 0.0000 0.0000 0.0000  8 Cd 2.93
Br1 0.5000 0.5000 0.5000  8 Cd 2.93
Cd1 0.2500 0.2500 0.2500  4 O 2.93, 4 Br 2.93
Cd2 0.7500 0.7500 0.7500  4 O 2.93, 4 Br 2.93

[4]
# Cd3BrO

Cd3BrO after structural relaxation (PBE, the Alexandria database).

Calculated values
* space-group type: Pm-3m
* ΔE_f (raw): 0.830 eV per atom
* calculated density: 3.96 g cm⁻³
* total magnetization: 0.00 μB/atom

Cell lengths 5.6618, 5.6618, 5.6618 Å; angles 90.00, 90.00, 90.00 degrees
With the nearest neighbours (Å) after each atom.
Atoms (fractional coordinates):
O1 0.5000 0.5000 0.5000  12 Cd 4.00
Br1 0.0000 0.0000 0.0000  6 Cd 2.83
Cd1 0.0000 0.5000 0.0000  2 Br 2.83
Cd2 0.0000 0.0000 0.5000  2 Br 2.83
Cd3 0.5000 0.0000 0.0000  2 Br 2.83

[5]
# Cd2BrO

Cd2BrO after structural relaxation (PBE, the Alexandria database).

Calculated values
* space-group type: I-42d
* ΔE_f (raw): -0.682 eV per atom
* calculated density: 5.24 g cm⁻³
* total magnetization: 0.00 μB/atom

Cell lengths 5.9897, 5.9897, 7.0709 Å; angles 64.94, 64.94, 90.00 degrees
With the nearest neighbours (Å) after each atom.
Atoms (fractional coordinates):
O1 0.5000 0.5000 0.0000  4 Cd 2.23
O2 0.2500 0.7500 0.5000  4 Cd 2.23
Br1 0.0000 0.0000 0.0000  4 Cd 2.97
Br2 0.7500 0.2500 0.5000  4 Cd 2.97
Cd1 0.5185 0.1250 0.2500  2 O 2.23
Cd2 0.2315 0.6250 0.2500  2 O 2.23
Cd3 0.3750 0.4815 0.7500  2 O 2.23
Cd4 0.8750 0.7685 0.7500  2 O 2.23

[6]
# CdBrO3

CdBrO3 after structural relaxation (PBE, the Alexandria database).

Calculated values
* space-group type: Pm-3m
* ΔE_f (raw): 0.274 eV per atom
* calculated density: 6.21 g cm⁻³
* total magnetization: 0.00 μB/atom

Cell lengths 4.0054, 4.0054, 4.0054 Å; angles 90.00, 90.00, 90.00 degrees
With the nearest neighbours (Å) after each atom.
Atoms (fractional coordinates):
O1 0.0000 0.5000 0.0000  2 Br 2.00
O2 0.0000 0.0000 0.5000  2 Br 2.00
O3 0.5000 0.0000 0.0000  2 Br 2.00
Br1 0.0000 0.0000 0.0000  6 O 2.00
Cd1 0.5000 0.5000 0.5000  12 O 2.83

[7]
# CdBrO3

CdBrO3 after structural relaxation (PBE, the Alexandria database).

Calculated values
* space-group type: P2_1/c
* ΔE_f (raw): -0.156 eV per atom
* calculated density: 5.20 g cm⁻³
* total magnetization: 0.20 μB/atom

Cell lengths 6.6978, 6.1991, 7.4342 Å; angles 90.00, 96.42, 90.00 degrees
With the nearest neighbours (Å) after each atom.
Atoms (fractional coordinates):
Cd1 0.7234 0.5913 0.3853  5 O 2.24-2.39
Cd2 0.7766 0.0913 0.1147  5 O 2.24-2.39
Cd3 0.2766 0.4087 0.6147  5 O 2.24-2.39
Cd4 0.2234 0.9087 0.8853  5 O 2.24-2.39
Br1 0.2243 0.9147 0.3979  3 O 1.75-1.95
Br2 0.2757 0.4147 0.1021  3 O 1.75-1.95
Br3 0.7757 0.0853 0.6021  3 O 1.75-1.95
Br4 0.7243 0.5853 0.8979  3 O 1.75-1.95
O1 0.5881 0.7864 0.9952  1 Br 1.75
O2 0.9119 0.2864 0.5048  1 Br 1.75
O3 0.4119 0.2136 0.0048  1 Br 1.75
O4 0.0881 0.7136 0.4952  1 Br 1.75
O5 0.0897 0.9052 0.1655  1 Br 1.86
O6 0.4103 0.4052 0.3345  1 Br 1.86
O7 0.9103 0.0948 0.8345  1 Br 1.86
O8 0.5897 0.5948 0.6655  1 Br 1.86
O9 0.3161 0.0494 0.6294  1 Br 1.95
O10 0.1839 0.5494 0.8706  1 Br 1.95
O11 0.6839 0.9506 0.3706  1 Br 1.95
O12 0.8161 0.4506 0.1294  1 Br 1.95

[8]
# CdBr3O

CdBr3O after structural relaxation (PBE, the Alexandria database).

Calculated values
* space-group type: Pm-3m
* ΔE_f (raw): 0.367 eV per atom
* calculated density: 3.69 g cm⁻³
* total magnetization: 0.60 μB/atom

Cell lengths 5.4944, 5.4944, 5.4944 Å; angles 90.00, 90.00, 90.00 degrees
With the nearest neighbours (Å) after each atom.
Atoms (fractional coordinates):
O1 0.5000 0.5000 0.5000  12 Br 3.89
Br1 0.0000 0.5000 0.0000  2 Cd 2.75
Br2 0.0000 0.0000 0.5000  2 Cd 2.75
Br3 0.5000 0.0000 0.0000  2 Cd 2.75
Cd1 0.0000 0.0000 0.0000  6 Br 2.75